one | A relaxed Ac8NiRu2 crystal, computed with PBE.

a b c (Å): 15.596 7.698 6.907
angles (deg): 90.00 104.14 90.00
Space group C2/m (No. 12)
Symmetry-distinct sites (fractional):
1 Ac 0.080 0.000 0.308 x4
2 Ac 0.127 0.256 0.855 x8
3 Ac 0.175 0.500 0.365 x4
4 Ni 0.000 0.500 0.000 x2
5 Ru 0.236 0.000 0.194 x4

Magnetic moment, μB per formula unit: 0.00

***

two | A relaxed Ac8NiRu2 crystal, computed with PBE.

a b c (Å): 13.406 9.093 7.039
angles (deg): 90.00 109.83 90.00
Space group C2/m (No. 12)
Symmetry-distinct sites (fractional):
1 Ac 0.113 0.000 0.241 x4
2 Ac 0.122 0.287 0.759 x8
3 Ac 0.150 0.500 0.263 x4
4 Ni 0.000 0.000 0.500 x2
5 Ru 0.179 0.000 0.880 x4

Magnetic moment, μB per formula unit: 0.00

***

The structures above, arranged from the most stable to the least stable: two, one.